(1)
ZrAlP PBE relaxed; ρ = 4.995 g/cm3
1.0
3.452 -5.979 0.000
3.452 5.979 0.000
0.000 0.000 3.604
Al Zr P
3 3 3
direct
0.260 0.260 0.000 Al
0.740 0.000 0.000 Al
0.000 0.740 0.000 Al
0.599 0.599 0.500 Zr
0.401 0.000 0.500 Zr
0.000 0.401 0.500 Zr
0.000 0.000 0.500 P
0.667 0.333 0.000 P
0.333 0.667 0.000 P

***

(2)
ZrAlP PBE relaxed; ρ = 3.887 g/cm3
1.0
4.484 0.000 0.000
2.242 3.883 0.000
2.242 1.294 3.661
Zr P Al
1 1 1
direct
0.250 0.250 0.250 Zr
0.500 0.500 0.500 P
0.000 0.000 0.000 Al

***

For each record above, in turn, the calculated formation enthalpy at 0 K values are -635 106 meV per atom.
For each record above, in turn, the calculated VASP energy values are -6.5353 -5.7943 eV per atom.
For each record above, in turn, the calculated N(E_F) values are 0.896 1.055 states/eV/atom.